[1]
Computed, not measured: crystalline HoAuSO at its relaxed geometry at the GGA-PBE level of DFT.

Results
Offset from the most stable computed form = 16.66 kJ/mol of atoms
SG = No. 129

a b c (Å): 5.4872 5.4872 9.0858
angles (deg): 90.00 90.00 90.00
Element x y z (fractional)
Ho (0.7500, 0.2500, 0.8771)
Ho (0.7500, 0.7500, 0.1229)
Ho (0.2500, 0.2500, 0.1229)
Ho (0.2500, 0.7500, 0.8771)
Au (0.0000, 0.5000, 0.5000)
Au (0.0000, 0.0000, 0.5000)
Au (0.5000, 0.5000, 0.5000)
Au (0.5000, 0.0000, 0.5000)
O (0.0000, 0.5000, 0.0000)
O (0.5000, 0.5000, 0.0000)
O (0.0000, 0.0000, 0.0000)
O (0.5000, 0.0000, 0.0000)
S (0.7500, 0.2500, 0.2828)
S (0.7500, 0.7500, 0.7172)
S (0.2500, 0.7500, 0.2828)
S (0.2500, 0.2500, 0.7172)

[2]
Computed, not measured: crystalline Sm3ThP4 at its relaxed geometry at the GGA-PBE level of DFT.

Results
Total DFT energy (no corrections) = -6.9940 eV/atom
SG = No. 65

a b c (Å): 7.1236 7.1236 4.1193
angles (deg): 90.00 90.00 109.47
Element x y z (fractional)
P (0.2496, 0.2496, 0.0000)
P (0.7504, 0.7504, 0.0000)
P (0.2493, 0.7507, 0.5000)
P (0.7507, 0.2493, 0.5000)
Sm (0.0000, 0.5000, 0.0000)
Sm (0.5000, 0.5000, 0.5000)
Sm (0.5000, 0.0000, 0.0000)
Th (0.0000, 0.0000, 0.5000)

V readings, ordered: 273.56 197.09 Å³ per cell